1.
# La2As (meta-GGA SCAN, single point on PBEsol structure)
# - energy relative to the elements (eV/atom) = -1.0483
# - total magnetic moment (μB per atom) = 0.000
data_La2As
_cell_length_a 4.124
_cell_length_b 10.982
_cell_length_c 7.613
_cell_angle_alpha 90.00
_cell_angle_beta 90.00
_cell_angle_gamma 90.00
_symmetry_space_group_name_H-M 'C m c 21'
_symmetry_Int_Tables_number 36
_symmetry_space_group_name_Hall 'C 2c -2'
loop_
_atom_site_label
_atom_site_type_symbol
_atom_site_fract_x
_atom_site_fract_y
_atom_site_fract_z
La1 La 0.000 0.032 0.000
La2 La 0.000 0.291 0.177
As1 As 0.000 0.403 0.791

=====

2.
# LiLaAs (meta-GGA SCAN, single point on PBEsol structure)
# - energy relative to the elements (eV/atom) = -1.2086
# - total magnetic moment (μB per atom) = 0.311
# - excess energy over the best structure of this formula in the dataset (meV/atom) = 0
data_LiLaAs
_cell_length_a 4.2527
_cell_length_b 4.2527
_cell_length_c 4.1533
_cell_angle_alpha 90.00
_cell_angle_beta 90.00
_cell_angle_gamma 120.00
_symmetry_space_group_name_H-M 'P -6 m 2'
_symmetry_Int_Tables_number 187
_symmetry_space_group_name_Hall 'P -6 2'
loop_
_atom_site_label
_atom_site_type_symbol
_atom_site_fract_x
_atom_site_fract_y
_atom_site_fract_z
Li1 Li 0.0000 0.0000 0.0000
La1 La 0.6667 0.3333 0.5000
As1 As 0.3333 0.6667 0.0000

=====

3.
# Li2LaAs (meta-GGA SCAN, single point on PBEsol structure)
# - energy relative to the elements (eV/atom) = -0.5671
# - total magnetic moment (μB per atom) = 0.000
data_Li2LaAs
_cell_length_a 4.665
_cell_length_b 5.122
_cell_length_c 7.010
_cell_angle_alpha 90.00
_cell_angle_beta 90.00
_cell_angle_gamma 90.00
_symmetry_space_group_name_H-M 'I m m 2'
_symmetry_Int_Tables_number 44
_symmetry_space_group_name_Hall 'I 2 -2'
loop_
_atom_site_label
_atom_site_type_symbol
_atom_site_fract_x
_atom_site_fract_y
_atom_site_fract_z
Li1 Li 0.000 0.000 0.000
Li2 Li 0.000 0.500 0.249
La1 La 0.000 0.000 0.470
As1 As 0.000 0.500 0.699

=====

Number 1 is which compound?
La2As

=====

Look up the total magnetic moment of the second one.
0.311 μB per atom

=====

Which value of total magnetic moment does entry 3 give?
0.000 μB per atom

=====

The highest energy relative to the elements belongs to which entry?
Li2LaAs